[1]
The following is a PBE-GGA calculation of an optimized crystal structure of ZrSeBr2, from Alexandria via LeMat-Bulk.

```
ZrSeBr2
1.0
-4.956 4.956 2.569
4.956 -4.956 2.569
4.956 4.956 -2.569
Zr Se Br
2 2 4
Cartesian
0.000 0.000 0.000 Zr
0.000 4.956 1.284 Zr
4.956 0.000 1.284 Se
0.000 0.000 2.569 Se
1.072 2.478 0.642 Br
-2.478 3.884 1.926 Br
-1.072 7.434 0.642 Br
2.478 6.027 1.926 Br
```

***

[2]
The following is a PBE-GGA calculation of an optimized crystal structure of ZrSeBr, from Alexandria via LeMat-Bulk.

```
ZrSeBr
1.0
7.384 -1.867 0.000
7.384 1.867 0.000
-1.836 0.000 6.451
Zr Se Br
2 2 2
Cartesian
3.098 0.000 1.873 Zr
9.834 0.000 4.578 Zr
4.303 0.000 4.254 Se
8.630 0.000 2.197 Se
0.530 0.000 5.518 Br
12.402 0.000 0.933 Br
```

***

[3]
The following is a PBE-GGA calculation of an optimized crystal structure of Zr2SeBr, from Alexandria via LeMat-Bulk.

```
Zr2SeBr
1.0
0.000 3.522 3.522
3.522 0.000 3.522
3.522 3.522 0.000
Zr Se Br
2 1 1
Cartesian
0.000 0.000 0.000 Zr
1.761 1.761 1.761 Zr
5.283 5.283 5.283 Se
3.522 3.522 3.522 Br
```

***

[4]
The following is a PBE-GGA calculation of an optimized crystal structure of ZrSeBr2, from Alexandria via LeMat-Bulk.

```
ZrSeBr2
1.0
4.064 0.000 0.000
0.000 4.064 0.000
0.000 0.000 5.805
Zr Se Br
1 1 2
Cartesian
0.000 0.000 0.000 Zr
2.032 2.032 0.000 Se
0.000 2.032 2.902 Br
2.032 0.000 2.902 Br
```

***

[5]
The following is a PBE-GGA calculation of an optimized crystal structure of ZrSeBr2, from Alexandria via LeMat-Bulk.

```
ZrSeBr2
1.0
3.121 -4.827 0.000
3.121 4.827 0.000
-1.992 0.000 3.095
Zr Se Br
1 1 2
Cartesian
0.000 0.000 0.000 Zr
3.121 0.000 0.000 Se
0.565 2.413 1.548 Br
0.565 -2.413 1.548 Br
```

***

[6]
The following is a PBE-GGA calculation of an optimized crystal structure of ZrSe3Br, from Alexandria via LeMat-Bulk.

```
ZrSe3Br
1.0
5.238 0.000 0.000
0.000 5.238 0.000
0.000 0.000 5.238
Zr Se Br
1 3 1
Cartesian
0.000 0.000 0.000 Zr
0.000 0.000 2.619 Se
0.000 2.619 0.000 Se
2.619 0.000 0.000 Se
2.619 2.619 2.619 Br
```

***

[7]
The following is a PBE-GGA calculation of an optimized crystal structure of ZrSeBr2, from Alexandria via LeMat-Bulk.

```
ZrSeBr2
1.0
0.000 3.515 3.515
3.515 0.000 3.515
3.515 3.515 0.000
Zr Se Br
1 1 2
Cartesian
0.000 0.000 0.000 Zr
3.515 3.515 3.515 Se
1.757 1.757 1.757 Br
5.272 5.272 5.272 Br
```

***

[8]
The following is a PBE-GGA calculation of an optimized crystal structure of ZrSe2Br8, from Alexandria via LeMat-Bulk.

```
ZrSe2Br8
1.0
4.620 -5.820 0.000
4.620 5.820 0.000
-3.399 0.000 8.857
Zr Se Br
1 2 8
Cartesian
0.000 0.000 0.000 Zr
-0.719 0.000 3.753 Se
6.560 0.000 5.105 Se
3.327 3.959 1.403 Br
2.515 3.959 7.455 Br
1.868 0.000 1.851 Br
0.756 0.000 5.582 Br
5.086 0.000 3.275 Br
3.973 0.000 7.006 Br
3.327 -3.959 1.403 Br
2.515 -3.959 7.455 Br
```

***

[9]
The following is a PBE-GGA calculation of an optimized crystal structure of ZrSe2Br, from Alexandria via LeMat-Bulk.

```
ZrSe2Br
1.0
5.417 0.000 0.000
0.000 3.807 0.000
-1.884 0.000 5.344
Zr Se Br
1 2 1
Cartesian
0.000 0.000 0.000 Zr
0.116 1.904 1.904 Se
3.417 1.904 3.440 Se
2.709 0.000 0.000 Br
```

***

[10]
The following is a PBE-GGA calculation of an optimized crystal structure of Zr2SeBr, from Alexandria via LeMat-Bulk.

```
Zr2SeBr
1.0
-3.698 3.698 3.393
3.698 -3.698 3.393
3.698 3.698 -3.393
Zr Se Br
4 2 2
Cartesian
5.547 1.711 -0.848 Zr
1.711 1.849 0.848 Zr
-1.849 1.987 2.545 Zr
1.987 1.849 4.242 Zr
0.000 0.000 0.000 Se
0.000 3.698 1.697 Se
3.698 0.000 1.697 Br
0.000 0.000 3.393 Br
```

***

[11]
The following is a PBE-GGA calculation of an optimized crystal structure of ZrSeBr2, from Alexandria via LeMat-Bulk.

```
ZrSeBr2
1.0
3.631 0.000 0.000
0.000 3.631 0.000
0.000 0.000 8.243
Zr Se Br
1 1 2
Cartesian
0.000 0.000 0.000 Zr
1.815 1.815 7.109 Se
0.000 0.000 5.478 Br
1.815 1.815 1.989 Br
```

***

[12]
The following is a PBE-GGA calculation of an optimized crystal structure of Zr2SeBr, from Alexandria via LeMat-Bulk.

```
Zr2SeBr
1.0
4.266 -1.728 0.000
4.266 1.728 0.000
-1.448 0.000 5.944
Zr Se Br
2 1 1
Cartesian
1.796 0.000 1.223 Zr
5.288 0.000 4.721 Zr
4.266 0.000 0.000 Se
-0.724 0.000 2.972 Br
```

***

[13]
The following is a PBE-GGA calculation of an optimized crystal structure of ZrSeBr2, from Alexandria via LeMat-Bulk.

```
ZrSeBr2
1.0
4.039 0.000 0.000
0.000 3.630 0.000
-1.968 0.000 7.959
Zr Se Br
1 1 2
Cartesian
0.000 0.000 0.000 Zr
2.020 1.815 0.718 Se
0.001 0.000 2.630 Br
2.072 1.815 5.847 Br
```

***

[14]
The following is a PBE-GGA calculation of an optimized crystal structure of ZrSeBr2, from Alexandria via LeMat-Bulk.

```
ZrSeBr2
1.0
1.687 0.974 11.395
-1.687 0.974 11.395
0.000 -1.948 11.395
Zr Se Br
1 1 2
Cartesian
0.000 0.000 0.000 Zr
0.000 0.000 17.093 Se
0.000 0.000 13.339 Br
0.000 0.000 20.848 Br
```

***

[15]
The following is a PBE-GGA calculation of an optimized crystal structure of ZrSeBr2, from Alexandria via LeMat-Bulk.

```
ZrSeBr2
1.0
-1.768 2.766 6.704
1.768 -2.766 6.704
1.768 2.766 -6.704
Zr Se Br
1 1 2
Cartesian
0.000 0.000 0.000 Zr
0.000 2.766 4.851 Se
1.768 0.000 2.152 Br
0.000 0.000 6.845 Br
```

***

[16]
The following is a PBE-GGA calculation of an optimized crystal structure of ZrSeBr2, from Alexandria via LeMat-Bulk.

```
ZrSeBr2
1.0
2.569 -7.083 0.000
2.569 7.083 0.000
0.000 0.000 3.960
Zr Se Br
1 1 2
Cartesian
0.000 0.000 0.000 Zr
2.569 0.000 0.000 Se
2.569 5.185 1.980 Br
2.569 -5.185 1.980 Br
```

***

[17]
The following is a PBE-GGA calculation of an optimized crystal structure of ZrSe2Br, from Alexandria via LeMat-Bulk.

```
ZrSe2Br
1.0
-1.756 2.332 7.118
1.756 -2.332 7.118
1.756 2.332 -7.118
Zr Se Br
1 2 1
Cartesian
0.000 0.000 0.000 Zr
0.000 0.000 6.860 Se
0.000 2.332 5.105 Se
1.756 0.000 2.230 Br
```

***

[18]
The following is a PBE-GGA calculation of an optimized crystal structure of ZrSeBr3, from Alexandria via LeMat-Bulk.

```
ZrSeBr3
1.0
3.691 -7.649 0.000
3.691 7.649 0.000
-1.709 0.000 13.308
Zr Se Br
4 4 12
Cartesian
0.420 1.012 1.843 Zr
-0.434 -1.012 8.496 Zr
6.108 1.012 4.811 Zr
5.254 -1.012 11.465 Zr
1.457 4.789 9.296 Se
3.363 4.789 10.665 Se
2.311 -4.789 2.642 Se
4.217 -4.789 4.011 Se
0.134 1.344 7.146 Br
0.338 0.486 10.577 Br
2.475 2.159 0.964 Br
0.988 -1.344 0.492 Br
1.192 -0.486 3.923 Br
1.620 -2.159 7.618 Br
4.054 2.159 5.690 Br
4.482 0.486 9.385 Br
4.686 1.344 12.816 Br
3.199 -2.159 12.344 Br
5.336 -0.486 2.731 Br
5.540 -1.344 6.162 Br
```

***

[19]
The following is a PBE-GGA calculation of an optimized crystal structure of ZrSe2Br, from Alexandria via LeMat-Bulk.

```
ZrSe2Br
1.0
3.611 0.000 0.000
0.000 3.611 0.000
0.000 0.000 6.871
Zr Se Br
1 2 1
Cartesian
0.000 0.000 0.000 Zr
1.805 1.805 1.321 Se
1.805 1.805 5.550 Se
0.000 0.000 3.436 Br
```

***

[20]
The following is a PBE-GGA calculation of an optimized crystal structure of Zr2SeBr, from Alexandria via LeMat-Bulk.

```
Zr2SeBr
1.0
-1.670 3.053 4.442
1.670 -3.053 4.442
1.670 3.053 -4.442
Zr Se Br
2 1 1
Cartesian
0.000 0.000 2.106 Zr
0.000 0.000 6.777 Zr
1.670 0.000 0.000 Se
0.000 3.053 0.000 Br
```

***

| no. | VASP energy (eV/f.u.) |
| --- | --- |
| 1 | -19.280 |
| 2 | -17.629 |
| 3 | -21.674 |
| 4 | -15.807 |
| 5 | -16.116 |
| 6 | -22.021 |
| 7 | -16.400 |
| 8 | -35.619 |
| 9 | -20.919 |
| 10 | -23.574 |
| 11 | -18.622 |
| 12 | -25.055 |
| 13 | -19.741 |
| 14 | -17.608 |
| 15 | -18.999 |
| 16 | -20.062 |
| 17 | -20.250 |
| 18 | -23.094 |
| 19 | -20.065 |
| 20 | -24.278 |